--- i ---
{
  "formula": "Ni3Pt2Rh3",
  "functional": "PBE-GGA",
  "state": "relaxed",
  "lattice_angstrom": [[5.3478, 0.0000, 0.0000], [0.0000, 10.7210, 0.0000], [-2.6379, 0.0000, 3.7964]],
  "species": ["Ni", "Ni", "Ni", "Ni", "Ni", "Ni", "Pt", "Pt", "Pt", "Pt", "Rh", "Rh", "Rh", "Rh", "Rh", "Rh"],
  "fractional_positions": [[0.0000, 0.0000, 0.0000], [0.0000, 0.3800, 0.5000], [0.0000, 0.6200, 0.5000], [0.5000, 0.1200, 0.5000], [0.5000, 0.5000, 0.0000], [0.5000, 0.8800, 0.5000], [0.0000, 0.2468, 0.0000], [0.0000, 0.7532, 0.0000], [0.5000, 0.2532, 0.0000], [0.5000, 0.7468, 0.0000], [0.0000, 0.1216, 0.5000], [0.0000, 0.5000, 0.0000], [0.0000, 0.8784, 0.5000], [0.5000, 0.0000, 0.0000], [0.5000, 0.3784, 0.5000], [0.5000, 0.6216, 0.5000]],
  "vol_a3_per_fu": 108.83,
  "magnetic_moment_mub_per_cell": 9.34
}

--- ii ---
{
  "formula": "Ni3Pt2Rh3",
  "functional": "PBE-GGA",
  "state": "relaxed",
  "lattice_angstrom": [[3.7287, 0.0000, 0.0000], [0.0000, 3.8042, 0.0000], [0.0000, 0.0000, 7.6237]],
  "species": ["Ni", "Ni", "Ni", "Pt", "Pt", "Rh", "Rh", "Rh"],
  "fractional_positions": [[0.0000, 0.0000, 0.0000], [0.0000, 0.5000, 0.2478], [0.0000, 0.5000, 0.7522], [0.5000, 0.0000, 0.2451], [0.5000, 0.0000, 0.7549], [0.0000, 0.0000, 0.5000], [0.5000, 0.5000, 0.0000], [0.5000, 0.5000, 0.5000]],
  "vol_a3_per_fu": 108.14,
  "magnetic_moment_mub_per_cell": 3.50
}

Stability, descending: ii, i

--- i ---
{
  "formula": "Ni2Pt2Rh3",
  "functional": "PBE-GGA",
  "state": "relaxed",
  "lattice_angstrom": [[3.7280, 0.0000, 0.0000], [0.0000, 19.7262, 0.0000], [0.0000, 0.0000, 2.6958]],
  "species": ["Ni", "Ni", "Ni", "Ni", "Pt", "Pt", "Pt", "Pt", "Rh", "Rh", "Rh", "Rh", "Rh", "Rh"],
  "fractional_positions": [[0.0000, 0.1368, 0.0000], [0.0000, 0.8632, 0.0000], [0.5000, 0.3632, 0.0000], [0.5000, 0.6368, 0.0000], [0.0000, 0.2970, 0.5000], [0.0000, 0.7030, 0.5000], [0.5000, 0.2030, 0.5000], [0.5000, 0.7970, 0.5000], [0.0000, 0.0000, 0.0000], [0.0000, 0.4309, 0.5000], [0.0000, 0.5691, 0.5000], [0.5000, 0.0691, 0.5000], [0.5000, 0.5000, 0.0000], [0.5000, 0.9309, 0.5000]],
  "vol_a3_per_fu": 99.13,
  "magnetic_moment_mub_per_cell": 3.63
}

--- ii ---
{
  "formula": "Ni2Pt2Rh3",
  "functional": "PBE-GGA",
  "state": "relaxed",
  "lattice_angstrom": [[4.2147, 0.0000, 0.0000], [0.0000, 18.7999, 0.0000], [0.0000, 0.0000, 2.6044]],
  "species": ["Ni", "Ni", "Ni", "Ni", "Pt", "Pt", "Pt", "Pt", "Rh", "Rh", "Rh", "Rh", "Rh", "Rh"],
  "fractional_positions": [[0.0000, 0.0690, 0.0000], [0.0000, 0.9310, 0.0000], [0.5000, 0.4310, 0.0000], [0.5000, 0.5690, 0.0000], [0.0000, 0.3649, 0.5000], [0.0000, 0.6351, 0.5000], [0.5000, 0.1351, 0.5000], [0.5000, 0.8649, 0.5000], [0.0000, 0.2151, 0.5000], [0.0000, 0.5000, 0.5000], [0.0000, 0.7849, 0.5000], [0.5000, 0.0000, 0.5000], [0.5000, 0.2849, 0.5000], [0.5000, 0.7151, 0.5000]],
  "vol_a3_per_fu": 103.18,
  "magnetic_moment_mub_per_cell": 3.57
}

Stability, descending: i, ii

--- i ---
{
  "formula": "NiPt2Rh6",
  "functional": "PBE-GGA",
  "state": "relaxed",
  "lattice_angstrom": [[4.0442, -2.3223, 0.0000], [4.0442, 2.3223, 0.0000], [-4.0397, 0.0000, 6.9775]],
  "species": ["Ni", "Pt", "Pt", "Rh", "Rh", "Rh", "Rh", "Rh", "Rh"],
  "fractional_positions": [[0.0000, 0.0000, 0.0000], [0.3302, 0.3302, 0.6615], [0.6698, 0.6698, 0.3385], [0.0043, 0.0043, 0.6775], [0.3287, 0.3287, 0.3246], [0.3349, 0.3349, 0.0002], [0.6651, 0.6651, 0.9998], [0.6713, 0.6713, 0.6754], [0.9957, 0.9957, 0.3225]],
  "vol_a3_per_fu": 131.06,
  "magnetic_moment_mub_per_cell": 0.00
}

--- ii ---
{
  "formula": "NiPt2Rh6",
  "functional": "PBE-GGA",
  "state": "relaxed",
  "lattice_angstrom": [[-1.3430, 3.6371, 6.8147], [1.3430, -3.6371, 6.8147], [1.3430, 3.6371, -6.8147]],
  "species": ["Ni", "Pt", "Pt", "Rh", "Rh", "Rh", "Rh", "Rh", "Rh"],
  "fractional_positions": [[0.0000, 0.0000, 0.0000], [0.3105, 0.5000, 0.8105], [0.6895, 0.5000, 0.1895], [0.0030, 0.6764, 0.3266], [0.3490, 0.8490, 0.5000], [0.3498, 0.6764, 0.6734], [0.6502, 0.3236, 0.3266], [0.6510, 0.1510, 0.5000], [0.9970, 0.3236, 0.6734]],
  "vol_a3_per_fu": 133.15,
  "magnetic_moment_mub_per_cell": 1.08
}

Stability, descending: i, ii

--- i ---
{
  "formula": "Ni2Pt8Rh",
  "functional": "PBE-GGA",
  "state": "relaxed",
  "lattice_angstrom": [[7.0026, -1.9582, 0.0000], [7.0026, 1.9582, 0.0000], [-1.6922, 0.0000, 5.9433]],
  "species": ["Ni", "Ni", "Pt", "Pt", "Pt", "Pt", "Pt", "Pt", "Pt", "Pt", "Rh"],
  "fractional_positions": [[0.2276, 0.2276, 0.1350], [0.7724, 0.7724, 0.8650], [0.0482, 0.0482, 0.2284], [0.1411, 0.1411, 0.6956], [0.3172, 0.3172, 0.5855], [0.4028, 0.4028, 0.0434], [0.5972, 0.5972, 0.9566], [0.6828, 0.6828, 0.4145], [0.8589, 0.8589, 0.3044], [0.9518, 0.9518, 0.7716], [0.5000, 0.5000, 0.5000]],
  "vol_a3_per_fu": 162.99,
  "magnetic_moment_mub_per_cell": 3.81
}

--- ii ---
{
  "formula": "Ni2Pt8Rh",
  "functional": "PBE-GGA",
  "state": "relaxed",
  "lattice_angstrom": [[4.7755, 0.0000, 0.0000], [-0.8116, 6.1172, 0.0000], [-1.6017, -2.0738, 5.5919]],
  "species": ["Ni", "Ni", "Pt", "Pt", "Pt", "Pt", "Pt", "Pt", "Pt", "Pt", "Rh"],
  "fractional_positions": [[0.0889, 0.3203, 0.3640], [0.9111, 0.6797, 0.6360], [0.1808, 0.1328, 0.7225], [0.2675, 0.9530, 0.0914], [0.3573, 0.7598, 0.4532], [0.4504, 0.5901, 0.8137], [0.5496, 0.4099, 0.1863], [0.6427, 0.2402, 0.5468], [0.7325, 0.0470, 0.9086], [0.8192, 0.8672, 0.2775], [0.0000, 0.5000, 0.0000]],
  "vol_a3_per_fu": 163.36,
  "magnetic_moment_mub_per_cell": 4.02
}

Stability, descending: i, ii